Crystalline Zr2HgAs at its relaxed geometry. Source: the Alexandria database, functional PBE-GGA.

energy of formation from the pure elements = -0.46 eV/atom
symmetry = No. 71
E above lowest polymorph = 143.7 meV/atom

Structure (extended XYZ):
```
4
Lattice="-4.647 1.344 1.916 0.323 -1.463 4.982 2.732 3.222 -3.037" Properties=species:S:1:pos:R:3 pbc="T T T"
As -2.038 2.254 1.164
Hg 0.447 0.850 2.697
Zr -2.248 -0.062 3.587
Zr -4.237 -0.117 6.760
```

=====

Crystalline MnIrRhS at its relaxed geometry. Source: the Alexandria database, functional PBE-GGA.

E_form (uncorrected) = -0.09 eV/atom
symmetry = No. 6
E above lowest polymorph = 0.0 meV/atom

Structure (extended XYZ):
```
4
Lattice="-1.550 -3.692 -1.968 2.220 0.079 -1.898 2.821 -1.370 3.243" Properties=species:S:1:pos:R:3 pbc="T T T"
Ir 0.597 -2.026 -1.636
Rh 2.290 -1.139 0.383
S 1.870 -3.302 -0.200
Mn 1.191 -5.007 1.184
```

=====

Crystalline TaCdO2 at its relaxed geometry. Source: the Alexandria database, functional PBE-GGA.

E_form (uncorrected) = -1.21 eV/atom
symmetry = No. 166

Structure (extended XYZ):
```
4
Lattice="1.871 0.000 6.480 -0.935 1.620 6.480 -0.935 -1.620 6.480" Properties=species:S:1:pos:R:3 pbc="T T T"
Ta 0.000 0.000 0.000
Cd 0.000 0.000 9.720
O 0.000 0.000 1.922
O 0.000 0.000 17.518
```

=====

Crystalline K3BeV at its relaxed geometry. Source: the Alexandria database, functional PBE-GGA.

energy of formation from the pure elements = 1.42 eV/atom
symmetry = No. 221

Structure (extended XYZ):
```
5
Lattice="6.539 0.000 0.000 0.000 6.539 0.000 0.000 0.000 6.539" Properties=species:S:1:pos:R:3 pbc="T T T"
K 3.270 0.000 0.000
K 0.000 0.000 3.270
Be 3.270 3.270 3.270
V 0.000 0.000 0.000
K 0.000 3.270 0.000
```